P) A plane-wave DFT calculation with PBE was carried out for KHgOs after structural relaxation.

Lattice parameters (Å, degrees): 6.9825 6.9825 6.9825 90.00 90.00 90.00
Last column: nearest neighbours and their distance in Å.
Fractional positions:
K 0.0000 0.0000 0.0000  4 Os 3.02
K 0.0000 0.5000 0.5000  4 Os 3.02
K 0.5000 0.0000 0.5000  4 Os 3.02
K 0.5000 0.5000 0.0000  4 Os 3.02
Hg 0.0000 0.0000 0.5000  4 Os 3.02
Hg 0.0000 0.5000 0.0000  4 Os 3.02
Hg 0.5000 0.0000 0.0000  4 Os 3.02
Hg 0.5000 0.5000 0.5000  4 Os 3.02
Os 0.2500 0.2500 0.7500  4 Hg 3.02, 4 K 3.02
Os 0.2500 0.7500 0.2500  4 K 3.02, 4 Hg 3.02
Os 0.7500 0.2500 0.2500  4 K 3.02, 4 Hg 3.02
Os 0.7500 0.7500 0.7500  4 K 3.02, 4 Hg 3.02

---

Q) A plane-wave DFT calculation with PBE was carried out for KHgOs after structural relaxation.

Lattice parameters (Å, degrees): 7.6025 7.6025 7.6025 90.00 90.00 90.00
Last column: nearest neighbours and their distance in Å.
Fractional positions:
K 0.0000 0.0000 0.0000  4 Hg 3.29, 4 Os 3.29
K 0.0000 0.5000 0.5000  4 Hg 3.29, 4 Os 3.29
K 0.5000 0.0000 0.5000  4 Hg 3.29, 4 Os 3.29
K 0.5000 0.5000 0.0000  4 Hg 3.29, 4 Os 3.29
Hg 0.2500 0.2500 0.7500  4 K 3.29
Hg 0.2500 0.7500 0.2500  4 K 3.29
Hg 0.7500 0.2500 0.2500  4 K 3.29
Hg 0.7500 0.7500 0.7500  4 K 3.29
Os 0.2500 0.2500 0.2500  4 K 3.29
Os 0.2500 0.7500 0.7500  4 K 3.29
Os 0.7500 0.2500 0.7500  4 K 3.29
Os 0.7500 0.7500 0.2500  4 K 3.29

---

The structure with the greatest stability is P).

---

P) A plane-wave DFT calculation with PBE was carried out for KHgPb after structural relaxation.

Lattice parameters (Å, degrees): 7.8757 7.8757 7.8757 90.00 90.00 90.00
Last column: nearest neighbours and their distance in Å.
Fractional positions:
K 0.0000 0.0000 0.0000  4 Pb 3.41, 4 Hg 3.41
K 0.0000 0.5000 0.5000  4 Pb 3.41, 4 Hg 3.41
K 0.5000 0.0000 0.5000  4 Pb 3.41, 4 Hg 3.41
K 0.5000 0.5000 0.0000  4 Pb 3.41, 4 Hg 3.41
Hg 0.2500 0.2500 0.7500  4 K 3.41
Hg 0.2500 0.7500 0.2500  4 K 3.41
Hg 0.7500 0.2500 0.2500  4 K 3.41
Hg 0.7500 0.7500 0.7500  4 K 3.41
Pb 0.2500 0.2500 0.2500  4 K 3.41
Pb 0.2500 0.7500 0.7500  4 K 3.41
Pb 0.7500 0.2500 0.7500  4 K 3.41
Pb 0.7500 0.7500 0.2500  4 K 3.41

---

Q) A plane-wave DFT calculation with PBE was carried out for KHgPb after structural relaxation.

Lattice parameters (Å, degrees): 7.5965 7.5965 7.5965 90.00 90.00 90.00
Last column: nearest neighbours and their distance in Å.
Fractional positions:
K 0.0000 0.0000 0.0000  4 Hg 3.29
K 0.0000 0.5000 0.5000  4 Hg 3.29
K 0.5000 0.0000 0.5000  4 Hg 3.29
K 0.5000 0.5000 0.0000  4 Hg 3.29
Hg 0.2500 0.2500 0.2500  4 Pb 3.29, 4 K 3.29
Hg 0.2500 0.7500 0.7500  4 Pb 3.29, 4 K 3.29
Hg 0.7500 0.2500 0.7500  4 Pb 3.29, 4 K 3.29
Hg 0.7500 0.7500 0.2500  4 Pb 3.29, 4 K 3.29
Pb 0.0000 0.0000 0.5000  4 Hg 3.29
Pb 0.0000 0.5000 0.0000  4 Hg 3.29
Pb 0.5000 0.0000 0.0000  4 Hg 3.29
Pb 0.5000 0.5000 0.5000  4 Hg 3.29

---

The structure with the greatest stability is Q).

---

P) A plane-wave DFT calculation with PBE was carried out for KRb2Hg2 after structural relaxation.

Lattice parameters (Å, degrees): 6.0214 6.0214 14.4907 90.00 90.00 90.00
Last column: nearest neighbours and their distance in Å.
Fractional positions:
K 0.0000 0.0000 0.0000  8 Hg 4.50, 8 Rb 4.71
K 0.5000 0.5000 0.5000  8 Hg 4.50, 8 Rb 4.71
Rb 0.0000 0.5000 0.2500  4 Hg 3.70
Rb 0.0000 0.5000 0.7500  4 Hg 3.70
Rb 0.5000 0.0000 0.2500  4 Hg 3.70
Rb 0.5000 0.0000 0.7500  4 Hg 3.70
Hg 0.0000 0.0000 0.3989  1 Hg 2.93
Hg 0.0000 0.0000 0.6011  1 Hg 2.93
Hg 0.5000 0.5000 0.1011  1 Hg 2.93
Hg 0.5000 0.5000 0.8989  1 Hg 2.93

---

Q) A plane-wave DFT calculation with PBE was carried out for KRb2Hg2 after structural relaxation.

Lattice parameters (Å, degrees): 9.4411 9.4411 5.5031 90.00 90.00 90.00
Last column: nearest neighbours and their distance in Å.
Fractional positions:
K 0.0000 0.0000 0.0000  4 Hg 3.79
K 0.5000 0.5000 0.0000  4 Hg 3.79
Rb 0.1720 0.3280 0.5000  6 Hg 3.90-3.95
Rb 0.3280 0.8280 0.5000  6 Hg 3.90-3.95
Rb 0.6720 0.1720 0.5000  6 Hg 3.90-3.95
Rb 0.8280 0.6720 0.5000  6 Hg 3.90-3.95
Hg 0.1157 0.6157 0.0000  1 Hg 3.09
Hg 0.3843 0.1157 0.0000  1 Hg 3.09
Hg 0.6157 0.8843 0.0000  1 Hg 3.09
Hg 0.8843 0.3843 0.0000  1 Hg 3.09

---

The structure with the greatest stability is Q).

---

P) A plane-wave DFT calculation with PBE was carried out for KSnHg3S4 after structural relaxation.

Lattice parameters (Å, degrees): 7.2295 7.7941 10.1518 90.00 106.52 90.00
Last column: nearest neighbours and their distance in Å.
Fractional positions:
K 0.2327 0.2500 0.1280  2 S 3.14-3.16
K 0.7673 0.7500 0.8720  2 S 3.14-3.16
Sn 0.0253 0.7500 0.3085  3 S 2.47-2.56
Sn 0.9747 0.2500 0.6915  3 S 2.47-2.56
Hg 0.2617 0.5276 0.5202  3 S 2.63-2.84, 1 Sn 2.91
Hg 0.2617 0.9724 0.5202  3 S 2.63-2.84, 1 Sn 2.91
Hg 0.4961 0.2500 0.8093  3 S 2.41-2.58
Hg 0.5039 0.7500 0.1907  3 S 2.41-2.58
Hg 0.7383 0.0276 0.4798  3 S 2.63-2.84, 1 Sn 2.91
Hg 0.7383 0.4724 0.4798  3 S 2.63-2.84, 1 Sn 2.91
S 0.1562 0.7500 0.1087  1 Hg 2.41, 1 Sn 2.47
S 0.2322 0.0174 0.7741  1 Sn 2.56, 2 Hg 2.58-2.67
S 0.2322 0.4826 0.7741  1 Sn 2.56, 2 Hg 2.58-2.67
S 0.4180 0.2500 0.4504  4 Hg 2.63-2.84
S 0.5820 0.7500 0.5496  4 Hg 2.63-2.84
S 0.7678 0.5174 0.2259  1 Sn 2.56, 2 Hg 2.58-2.67
S 0.7678 0.9826 0.2259  1 Sn 2.56, 2 Hg 2.58-2.67
S 0.8438 0.2500 0.8913  1 Hg 2.41, 1 Sn 2.47

---

Q) A plane-wave DFT calculation with PBE was carried out for KSnHg3S4 after structural relaxation.

Lattice parameters (Å, degrees): 6.7240 6.7240 6.7240 90.00 90.00 90.00
Last column: nearest neighbours and their distance in Å.
Fractional positions:
K 0.0000 0.0000 0.0000  4 S 3.21
Sn 0.5000 0.5000 0.5000  4 S 2.61
Hg 0.0000 0.5000 0.5000  4 S 2.83
Hg 0.5000 0.0000 0.5000  4 S 2.83
Hg 0.5000 0.5000 0.0000  4 S 2.83
S 0.2759 0.2759 0.2759  1 Sn 2.61, 3 Hg 2.83
S 0.2759 0.7241 0.7241  1 Sn 2.61, 3 Hg 2.83
S 0.7241 0.2759 0.7241  1 Sn 2.61, 3 Hg 2.83
S 0.7241 0.7241 0.2759  1 Sn 2.61, 3 Hg 2.83

---

The structure with the greatest stability is P).